--- A ---
RbGeMo3 after structural relaxation, computed with PBE-GGA.

Summary:
**Spin magnetization**: 2.43 μB per formula unit
**DOS at the Fermi energy**: 8.2 states/eV/cell
**Mass density**: 6.98 Mg/m³

Cell and atoms, written as CIF:
```
data_RbGeMo3
_symmetry_space_group_name_H-M 'P m -3 m'
_symmetry_Int_Tables_number 221
_symmetry_space_group_name_Hall '-P 4 2 3'
_cell_length_a 4.7339
_cell_length_b 4.7339
_cell_length_c 4.7339
_cell_angle_alpha 90.00
_cell_angle_beta 90.00
_cell_angle_gamma 90.00
loop_
_atom_site_label
_atom_site_fract_x
_atom_site_fract_y
_atom_site_fract_z
Rb1 0.0000 0.0000 0.0000
Ge1 0.5000 0.5000 0.5000
Mo1 0.0000 0.0000 0.5000
```

--- B ---
RbGeMo3 after structural relaxation, computed with PBE-GGA.

Summary:
**Spin magnetization**: 2.84 μB per formula unit
**DOS at the Fermi energy**: 7.4 states/eV/cell
**Mass density**: 6.41 Mg/m³

Cell and atoms, written as CIF:
```
data_RbGeMo3
_symmetry_space_group_name_H-M 'P m -3 m'
_symmetry_Int_Tables_number 221
_symmetry_space_group_name_Hall '-P 4 2 3'
_cell_length_a 4.8713
_cell_length_b 4.8713
_cell_length_c 4.8713
_cell_angle_alpha 90.00
_cell_angle_beta 90.00
_cell_angle_gamma 90.00
loop_
_atom_site_label
_atom_site_fract_x
_atom_site_fract_y
_atom_site_fract_z
Rb1 0.0000 0.0000 0.0000
Ge1 0.5000 0.5000 0.5000
Mo1 0.0000 0.5000 0.5000
```

Most stable = B

--- A ---
Rb2GeMo2 after structural relaxation, computed with PBE-GGA.

Summary:
**Spin magnetization**: 0.58 μB per formula unit
**DOS at the Fermi energy**: 9.3 states/eV/cell
**Mass density**: 4.68 Mg/m³

Cell and atoms, written as CIF:
```
data_Rb2GeMo2
_symmetry_space_group_name_H-M 'I 4/m m m'
_symmetry_Int_Tables_number 139
_symmetry_space_group_name_Hall '-I 4 2'
_cell_length_a 3.5222
_cell_length_b 3.5222
_cell_length_c 24.8936
_cell_angle_alpha 90.00
_cell_angle_beta 90.00
_cell_angle_gamma 90.00
loop_
_atom_site_label
_atom_site_fract_x
_atom_site_fract_y
_atom_site_fract_z
Rb1 0.0000 0.0000 0.1073
Ge1 0.0000 0.0000 0.5000
Mo1 0.0000 0.5000 0.2500
```

--- B ---
Rb2GeMo2 after structural relaxation, computed with PBE-GGA.

Summary:
**Spin magnetization**: 0.00 μB per formula unit
**DOS at the Fermi energy**: 9.8 states/eV/cell
**Mass density**: 4.18 Mg/m³

Cell and atoms, written as CIF:
```
data_Rb2GeMo2
_symmetry_space_group_name_H-M 'P 4/m b m'
_symmetry_Int_Tables_number 127
_symmetry_space_group_name_Hall '-P 4 2ab'
_cell_length_a 10.7441
_cell_length_b 10.7441
_cell_length_c 2.9977
_cell_angle_alpha 90.00
_cell_angle_beta 90.00
_cell_angle_gamma 90.00
loop_
_atom_site_label
_atom_site_fract_x
_atom_site_fract_y
_atom_site_fract_z
Rb1 0.2144 0.2856 0.0000
Ge1 0.0000 0.0000 0.0000
Mo1 0.0687 0.5687 0.5000
```

Most stable = A

--- A ---
RbGe2Mo after structural relaxation, computed with PBE-GGA.

Summary:
**Spin magnetization**: 0.98 μB per formula unit
**DOS at the Fermi energy**: 5.2 states/eV/cell
**Mass density**: 4.25 Mg/m³

Cell and atoms, written as CIF:
```
data_RbGe2Mo
_symmetry_space_group_name_H-M 'R -3 m'
_symmetry_Int_Tables_number 166
_symmetry_space_group_name_Hall '-R 3 2"'
_cell_length_a 4.1852
_cell_length_b 4.1852
_cell_length_c 25.2542
_cell_angle_alpha 90.00
_cell_angle_beta 90.00
_cell_angle_gamma 120.00
loop_
_atom_site_label
_atom_site_fract_x
_atom_site_fract_y
_atom_site_fract_z
Rb1 0.0000 0.0000 0.0000
Ge1 0.0000 0.0000 0.1305
Mo1 0.0000 0.0000 0.5000
```

--- B ---
RbGe2Mo after structural relaxation, computed with PBE-GGA.

Summary:
**Spin magnetization**: 2.55 μB per formula unit
**DOS at the Fermi energy**: 11.4 states/eV/cell
**Mass density**: 6.18 Mg/m³

Cell and atoms, written as CIF:
```
data_RbGe2Mo
_symmetry_space_group_name_H-M 'F m -3 m'
_symmetry_Int_Tables_number 225
_symmetry_space_group_name_Hall '-F 4 2 3'
_cell_length_a 7.0561
_cell_length_b 7.0561
_cell_length_c 7.0561
_cell_angle_alpha 90.00
_cell_angle_beta 90.00
_cell_angle_gamma 90.00
loop_
_atom_site_label
_atom_site_fract_x
_atom_site_fract_y
_atom_site_fract_z
Rb1 0.0000 0.0000 0.0000
Ge1 0.2500 0.2500 0.2500
Mo1 0.0000 0.0000 0.5000
```

--- C ---
RbGe2Mo after structural relaxation, computed with PBE-GGA.

Summary:
**Spin magnetization**: 0.89 μB per formula unit
**DOS at the Fermi energy**: 9.3 states/eV/cell
**Mass density**: 3.74 Mg/m³

Cell and atoms, written as CIF:
```
data_RbGe2Mo
_symmetry_space_group_name_H-M 'I 41/a m d'
_symmetry_Int_Tables_number 141
_cell_length_a 6.2930
_cell_length_b 6.2930
_cell_length_c 14.6403
_cell_angle_alpha 90.00
_cell_angle_beta 90.00
_cell_angle_gamma 90.00
loop_
_symmetry_equiv_pos_as_xyz
'x,y,z'
'-x,-y,-z'
'-y+1/4,x+3/4,z+1/4'
'y+1/4,-x+3/4,-z+1/4'
'-x+1/2,-y,z+1/2'
'x+1/2,y,-z+1/2'
'y+1/4,-x+1/4,z+3/4'
'-y+1/4,x+1/4,-z+3/4'
'x,-y,-z'
'-x,y,z'
'-y+1/4,-x+1/4,-z+3/4'
'y+1/4,x+1/4,z+3/4'
'-x+1/2,y,-z+1/2'
'x+1/2,-y,z+1/2'
'y+1/4,x+3/4,-z+1/4'
'-y+1/4,-x+3/4,z+1/4'
'x+1/2,y+1/2,z+1/2'
'-x+1/2,-y+1/2,-z+1/2'
'-y+3/4,x+1/4,z+3/4'
'y+3/4,-x+1/4,-z+3/4'
'-x,-y+1/2,z'
'x,y+1/2,-z'
'y+3/4,-x+3/4,z+1/4'
'-y+3/4,x+3/4,-z+1/4'
'x+1/2,-y+1/2,-z+1/2'
'-x+1/2,y+1/2,z+1/2'
'-y+3/4,-x+3/4,-z+1/4'
'y+3/4,x+3/4,z+1/4'
'-x,y+1/2,-z'
'x,-y+1/2,z'
'y+3/4,x+1/4,-z+3/4'
'-y+3/4,-x+1/4,z+3/4'
loop_
_atom_site_label
_atom_site_fract_x
_atom_site_fract_y
_atom_site_fract_z
Rb1 0.0000 0.2500 0.3750
Ge1 0.0000 0.0000 0.0000
Mo1 0.0000 0.2500 0.8750
```

Most stable = C

--- A ---
ReGe2Mo after structural relaxation, computed with PBE-GGA.

Summary:
**Spin magnetization**: 0.00 μB per formula unit
**DOS at the Fermi energy**: 19.4 states/eV/cell
**Mass density**: 11.86 Mg/m³

Cell and atoms, written as CIF:
```
data_ReGe2Mo
_symmetry_space_group_name_H-M 'F m -3 m'
_symmetry_Int_Tables_number 225
_symmetry_space_group_name_Hall '-F 4 2 3'
_cell_length_a 6.2089
_cell_length_b 6.2089
_cell_length_c 6.2089
_cell_angle_alpha 90.00
_cell_angle_beta 90.00
_cell_angle_gamma 90.00
loop_
_atom_site_label
_atom_site_fract_x
_atom_site_fract_y
_atom_site_fract_z
Re1 0.0000 0.0000 0.0000
Ge1 0.2500 0.2500 0.2500
Mo1 0.0000 0.0000 0.5000
```

--- B ---
ReGe2Mo after structural relaxation, computed with PBE-GGA.

Summary:
**Spin magnetization**: 0.00 μB per formula unit
**DOS at the Fermi energy**: 11.8 states/eV/cell
**Mass density**: 10.76 Mg/m³

Cell and atoms, written as CIF:
```
data_ReGe2Mo
_symmetry_space_group_name_H-M 'R -3 m'
_symmetry_Int_Tables_number 166
_symmetry_space_group_name_Hall '-R 3 2"'
_cell_length_a 2.8544
_cell_length_b 2.8544
_cell_length_c 28.0404
_cell_angle_alpha 90.00
_cell_angle_beta 90.00
_cell_angle_gamma 120.00
loop_
_atom_site_label
_atom_site_fract_x
_atom_site_fract_y
_atom_site_fract_z
Re1 0.0000 0.0000 0.0000
Ge1 0.0000 0.0000 0.0913
Mo1 0.0000 0.0000 0.5000
```

Most stable = A

--- A ---
Ge2MoRh after structural relaxation, computed with PBE-GGA.

Summary:
**Spin magnetization**: 0.26 μB per formula unit
**DOS at the Fermi energy**: 13.3 states/eV/cell
**Mass density**: 8.52 Mg/m³

Cell and atoms, written as CIF:
```
data_Ge2MoRh
_symmetry_space_group_name_H-M 'I -4 2 d'
_symmetry_Int_Tables_number 122
_symmetry_space_group_name_Hall 'I -4 2bw'
_cell_length_a 6.7004
_cell_length_b 6.7004
_cell_length_c 5.9791
_cell_angle_alpha 90.00
_cell_angle_beta 90.00
_cell_angle_gamma 90.00
loop_
_atom_site_label
_atom_site_fract_x
_atom_site_fract_y
_atom_site_fract_z
Ge1 0.2329 0.2500 0.1250
Mo1 0.0000 0.0000 0.5000
Rh1 0.0000 0.0000 0.0000
```

--- B ---
Ge2MoRh after structural relaxation, computed with PBE-GGA.

Summary:
**Spin magnetization**: 0.00 μB per formula unit
**DOS at the Fermi energy**: 9.6 states/eV/cell
**Mass density**: 8.65 Mg/m³

Cell and atoms, written as CIF:
```
data_Ge2MoRh
_symmetry_space_group_name_H-M 'R -3 m'
_symmetry_Int_Tables_number 166
_symmetry_space_group_name_Hall '-R 3 2"'
_cell_length_a 2.9017
_cell_length_b 2.9017
_cell_length_c 27.1917
_cell_angle_alpha 90.00
_cell_angle_beta 90.00
_cell_angle_gamma 120.00
loop_
_atom_site_label
_atom_site_fract_x
_atom_site_fract_y
_atom_site_fract_z
Ge1 0.0000 0.0000 0.0952
Mo1 0.0000 0.0000 0.0000
Rh1 0.0000 0.0000 0.5000
```

Most stable = B

--- A ---
Ge2MoRh after structural relaxation, computed with PBE-GGA.

Summary:
**Spin magnetization**: 0.00 μB per formula unit
**DOS at the Fermi energy**: 10.8 states/eV/cell
**Mass density**: 9.65 Mg/m³

Cell and atoms, written as CIF:
```
data_Ge2MoRh
_symmetry_space_group_name_H-M 'F m -3 m'
_symmetry_Int_Tables_number 225
_symmetry_space_group_name_Hall '-F 4 2 3'
_cell_length_a 6.1862
_cell_length_b 6.1862
_cell_length_c 6.1862
_cell_angle_alpha 90.00
_cell_angle_beta 90.00
_cell_angle_gamma 90.00
loop_
_atom_site_label
_atom_site_fract_x
_atom_site_fract_y
_atom_site_fract_z
Ge1 0.2500 0.2500 0.2500
Mo1 0.0000 0.0000 0.0000
Rh1 0.0000 0.0000 0.5000
```

--- B ---
Ge2MoRh after structural relaxation, computed with PBE-GGA.

Summary:
**Spin magnetization**: 0.00 μB per formula unit
**DOS at the Fermi energy**: 3.0 states/eV/cell
**Mass density**: 9.64 Mg/m³

Cell and atoms, written as CIF:
```
data_Ge2MoRh
_symmetry_space_group_name_H-M 'P 4/m m m'
_symmetry_Int_Tables_number 123
_symmetry_space_group_name_Hall '-P 4 2'
_cell_length_a 4.3848
_cell_length_b 4.3848
_cell_length_c 3.0820
_cell_angle_alpha 90.00
_cell_angle_beta 90.00
_cell_angle_gamma 90.00
loop_
_atom_site_label
_atom_site_fract_x
_atom_site_fract_y
_atom_site_fract_z
Ge1 0.0000 0.5000 0.0000
Mo1 0.0000 0.0000 0.5000
Rh1 0.5000 0.5000 0.5000
```

Most stable = B